# In2SnOsS PBE relaxed
data_In2SnOsS
_cell_length_a 5.0081
_cell_length_b 5.0081
_cell_length_c 5.1651
_cell_angle_alpha 90.00
_cell_angle_beta 90.00
_cell_angle_gamma 90.00
_symmetry_space_group_name_H-M 'P 4/m m m'
_symmetry_Int_Tables_number 123
_symmetry_space_group_name_Hall '-P 4 2'
loop_
_atom_site_label
_atom_site_type_symbol
_atom_site_fract_x
_atom_site_fract_y
_atom_site_fract_z
In1 In 0.0000 0.5000 0.0000
Sn1 Sn 0.0000 0.0000 0.5000
Os1 Os 0.5000 0.5000 0.5000
S1 S 0.0000 0.0000 0.0000
# DOS(E_F) in states/eV/f.u.: 3.235
# V in A^3/atom: 25.91
# E_form (uncorrected) in meV per atom: 1206

---

# In2SbOs PBE relaxed
data_In2SbOs
_cell_length_a 5.9349
_cell_length_b 8.5030
_cell_length_c 3.2870
_cell_angle_alpha 90.00
_cell_angle_beta 90.00
_cell_angle_gamma 90.00
_symmetry_space_group_name_H-M 'C m m m'
_symmetry_Int_Tables_number 65
_symmetry_space_group_name_Hall '-C 2 2'
loop_
_atom_site_label
_atom_site_type_symbol
_atom_site_fract_x
_atom_site_fract_y
_atom_site_fract_z
In1 In 0.2500 0.2500 0.0000
Sb1 Sb 0.0000 0.0000 0.5000
Os1 Os 0.0000 0.5000 0.5000
# DOS(E_F) in states/eV/f.u.: 2.289
# V in A^3/atom: 20.73
# E_form (uncorrected) in meV per atom: 641

---

# InSbOs2 PBE relaxed
data_InSbOs2
_cell_length_a 3.1358
_cell_length_b 5.2893
_cell_length_c 8.8139
_cell_angle_alpha 90.00
_cell_angle_beta 90.00
_cell_angle_gamma 90.00
_symmetry_space_group_name_H-M 'C m m m'
_symmetry_Int_Tables_number 65
_symmetry_space_group_name_Hall '-C 2 2'
loop_
_atom_site_label
_atom_site_type_symbol
_atom_site_fract_x
_atom_site_fract_y
_atom_site_fract_z
In1 In 0.0000 0.0000 0.0000
Sb1 Sb 0.0000 0.0000 0.5000
Os1 Os 0.0000 0.5000 0.2586
# Relative energy among the computed polymorphs in kcal/mol of atoms: 11.26
# DOS(E_F) in states/eV/f.u.: 4.206
# V in A^3/atom: 18.27
# E_form (uncorrected) in meV per atom: 868

---

# InSbOs2 PBE relaxed
data_InSbOs2
_cell_length_a 7.4619
_cell_length_b 7.4619
_cell_length_c 5.6888
_cell_angle_alpha 90.00
_cell_angle_beta 90.00
_cell_angle_gamma 90.00
_symmetry_space_group_name_H-M 'I -4 2 d'
_symmetry_Int_Tables_number 122
_symmetry_space_group_name_Hall 'I -4 2bw'
loop_
_atom_site_label
_atom_site_type_symbol
_atom_site_fract_x
_atom_site_fract_y
_atom_site_fract_z
In1 In 0.0000 0.0000 0.0000
Sb1 Sb 0.0000 0.0000 0.5000
Os1 Os 0.2147 0.2500 0.6250
# Relative energy among the computed polymorphs in kcal/mol of atoms: 16.79
# DOS(E_F) in states/eV/f.u.: 3.276
# V in A^3/atom: 19.80
# E_form (uncorrected) in meV per atom: 1107

---

# InSbOs2 PBE relaxed
data_InSbOs2
_cell_length_a 2.9586
_cell_length_b 2.9586
_cell_length_c 31.6536
_cell_angle_alpha 90.00
_cell_angle_beta 90.00
_cell_angle_gamma 120.00
_symmetry_space_group_name_H-M 'R 3 m'
_symmetry_Int_Tables_number 160
_symmetry_space_group_name_Hall 'R 3 -2"'
loop_
_atom_site_label
_atom_site_type_symbol
_atom_site_fract_x
_atom_site_fract_y
_atom_site_fract_z
In1 In 0.0000 0.0000 0.0000
Sb1 Sb 0.0000 0.0000 0.2124
Os1 Os 0.0000 0.0000 0.4741
Os2 Os 0.0000 0.0000 0.7436
# Relative energy among the computed polymorphs in kcal/mol of atoms: 4.55
# DOS(E_F) in states/eV/f.u.: 3.445
# V in A^3/atom: 20.00
# E_form (uncorrected) in meV per atom: 577

---

# InSbOs2 PBE relaxed
data_InSbOs2
_cell_length_a 9.9134
_cell_length_b 3.0965
_cell_length_c 5.1177
_cell_angle_alpha 90.00
_cell_angle_beta 113.98
_cell_angle_gamma 90.00
_symmetry_space_group_name_H-M 'C 1 m 1'
_symmetry_Int_Tables_number 8
loop_
_symmetry_equiv_pos_as_xyz
'x,y,z'
'x,-y,z'
'x+1/2,y+1/2,z'
'x+1/2,-y+1/2,z'
loop_
_atom_site_label
_atom_site_type_symbol
_atom_site_fract_x
_atom_site_fract_y
_atom_site_fract_z
In1 In 0.0000 0.0000 0.0000
Sb1 Sb 0.2929 0.5000 0.3777
Os1 Os 0.0457 0.5000 0.5084
Os2 Os 0.2518 0.0000 0.9142
# Relative energy among the computed polymorphs in kcal/mol of atoms: 2.64
# DOS(E_F) in states/eV/f.u.: 1.227
# V in A^3/atom: 17.94
# E_form (uncorrected) in meV per atom: 493

---

# InSbOs2 PBE relaxed
data_InSbOs2
_cell_length_a 8.7111
_cell_length_b 3.0776
_cell_length_c 5.4599
_cell_angle_alpha 90.00
_cell_angle_beta 101.00
_cell_angle_gamma 90.00
_symmetry_space_group_name_H-M 'C 1 2/m 1'
_symmetry_Int_Tables_number 12
loop_
_symmetry_equiv_pos_as_xyz
'x,y,z'
'-x,-y,-z'
'-x,y,-z'
'x,-y,z'
'x+1/2,y+1/2,z'
'-x+1/2,-y+1/2,-z'
'-x+1/2,y+1/2,-z'
'x+1/2,-y+1/2,z'
loop_
_atom_site_label
_atom_site_type_symbol
_atom_site_fract_x
_atom_site_fract_y
_atom_site_fract_z
In1 In 0.0000 0.0000 0.0000
Sb1 Sb 0.0000 0.5000 0.5000
Os1 Os 0.2483 0.5000 0.2805
# Relative energy among the computed polymorphs in kcal/mol of atoms: 5.22
# DOS(E_F) in states/eV/f.u.: 2.407
# V in A^3/atom: 17.96
# E_form (uncorrected) in meV per atom: 606

---

# In2SbOs PBE relaxed
data_In2SbOs
_cell_length_a 6.3349
_cell_length_b 6.3349
_cell_length_c 12.9318
_cell_angle_alpha 90.00
_cell_angle_beta 90.00
_cell_angle_gamma 90.00
_symmetry_space_group_name_H-M 'I -4 2 d'
_symmetry_Int_Tables_number 122
_symmetry_space_group_name_Hall 'I -4 2bw'
loop_
_atom_site_label
_atom_site_type_symbol
_atom_site_fract_x
_atom_site_fract_y
_atom_site_fract_z
In1 In 0.2128 0.2500 0.1250
Sb1 Sb 0.0000 0.0000 0.5000
Os1 Os 0.0000 0.0000 0.0000
# DOS(E_F) in states/eV/f.u.: 4.840
# V in A^3/atom: 32.44
# E_form (uncorrected) in meV per atom: 989

---

# InSbOs2 PBE relaxed
data_InSbOs2
_cell_length_a 4.6471
_cell_length_b 3.1096
_cell_length_c 5.3334
_cell_angle_alpha 90.00
_cell_angle_beta 113.47
_cell_angle_gamma 90.00
_symmetry_space_group_name_H-M 'P 1 2/m 1'
_symmetry_Int_Tables_number 10
loop_
_symmetry_equiv_pos_as_xyz
'x,y,z'
'-x,-y,-z'
'-x,y,-z'
'x,-y,z'
loop_
_atom_site_label
_atom_site_type_symbol
_atom_site_fract_x
_atom_site_fract_y
_atom_site_fract_z
In1 In 0.0000 0.0000 0.0000
Sb1 Sb 0.0000 0.5000 0.5000
Os1 Os 0.5000 0.0000 0.5000
Os2 Os 0.5000 0.5000 0.0000
# Relative energy among the computed polymorphs in kcal/mol of atoms: 5.82
# DOS(E_F) in states/eV/f.u.: 2.493
# V in A^3/atom: 17.67
# E_form (uncorrected) in meV per atom: 632

---

# InSbOs2 PBE relaxed
data_InSbOs2
_cell_length_a 2.9316
_cell_length_b 2.9316
_cell_length_c 9.1095
_cell_angle_alpha 90.00
_cell_angle_beta 90.00
_cell_angle_gamma 90.00
_symmetry_space_group_name_H-M 'P 4 m m'
_symmetry_Int_Tables_number 99
loop_
_symmetry_equiv_pos_as_xyz
'x,y,z'
'-y,x,z'
'-x,-y,z'
'y,-x,z'
'-x,y,z'
'y,x,z'
'x,-y,z'
'-y,-x,z'
loop_
_atom_site_label
_atom_site_type_symbol
_atom_site_fract_x
_atom_site_fract_y
_atom_site_fract_z
In1 In 0.0000 0.0000 0.0000
Sb1 Sb 0.5000 0.5000 0.6506
Os1 Os 0.0000 0.0000 0.4163
Os2 Os 0.5000 0.5000 0.2397
# Relative energy among the computed polymorphs in kcal/mol of atoms: 0.00
# DOS(E_F) in states/eV/f.u.: 1.452
# V in A^3/atom: 19.57
# E_form (uncorrected) in meV per atom: 379

---

# In2SbOs PBE relaxed
data_In2SbOs
_cell_length_a 3.5333
_cell_length_b 4.9671
_cell_length_c 5.2238
_cell_angle_alpha 90.00
_cell_angle_beta 100.58
_cell_angle_gamma 90.00
_symmetry_space_group_name_H-M 'P 1 2/m 1'
_symmetry_Int_Tables_number 10
loop_
_symmetry_equiv_pos_as_xyz
'x,y,z'
'-x,-y,-z'
'-x,y,-z'
'x,-y,z'
loop_
_atom_site_label
_atom_site_type_symbol
_atom_site_fract_x
_atom_site_fract_y
_atom_site_fract_z
In1 In 0.1882 0.0000 0.2705
Sb1 Sb 0.5000 0.5000 0.0000
Os1 Os 0.5000 0.5000 0.5000
# DOS(E_F) in states/eV/f.u.: 3.182
# V in A^3/atom: 22.53
# E_form (uncorrected) in meV per atom: 600

---

# In2SbOs PBE relaxed
data_In2SbOs
_cell_length_a 3.2639
_cell_length_b 3.2639
_cell_length_c 28.4629
_cell_angle_alpha 90.00
_cell_angle_beta 90.00
_cell_angle_gamma 120.00
_symmetry_space_group_name_H-M 'R -3 m'
_symmetry_Int_Tables_number 166
_symmetry_space_group_name_Hall '-R 3 2"'
loop_
_atom_site_label
_atom_site_type_symbol
_atom_site_fract_x
_atom_site_fract_y
_atom_site_fract_z
In1 In 0.0000 0.0000 0.2384
Sb1 Sb 0.0000 0.0000 0.0000
Os1 Os 0.0000 0.0000 0.5000
# DOS(E_F) in states/eV/f.u.: 3.005
# V in A^3/atom: 21.88
# E_form (uncorrected) in meV per atom: 499

---

# InSbOs PBE relaxed
data_InSbOs
_cell_length_a 3.1710
_cell_length_b 3.1710
_cell_length_c 12.9510
_cell_angle_alpha 90.00
_cell_angle_beta 90.00
_cell_angle_gamma 90.00
_symmetry_space_group_name_H-M 'I 4 m m'
_symmetry_Int_Tables_number 107
_symmetry_space_group_name_Hall 'I 4 -2'
loop_
_atom_site_label
_atom_site_type_symbol
_atom_site_fract_x
_atom_site_fract_y
_atom_site_fract_z
In1 In 0.0000 0.0000 0.0000
Sb1 Sb 0.0000 0.0000 0.7350
Os1 Os 0.0000 0.0000 0.3570
# Relative energy among the computed polymorphs in kcal/mol of atoms: 0.00
# DOS(E_F) in states/eV/f.u.: 1.108
# V in A^3/atom: 21.70
# E_form (uncorrected) in meV per atom: 306

---

# InSbOs PBE relaxed
data_InSbOs
_cell_length_a 4.6202
_cell_length_b 4.6202
_cell_length_c 3.3199
_cell_angle_alpha 90.00
_cell_angle_beta 90.00
_cell_angle_gamma 120.00
_symmetry_space_group_name_H-M 'P -6 m 2'
_symmetry_Int_Tables_number 187
_symmetry_space_group_name_Hall 'P -6 2'
loop_
_atom_site_label
_atom_site_type_symbol
_atom_site_fract_x
_atom_site_fract_y
_atom_site_fract_z
In1 In 0.0000 0.0000 0.0000
Sb1 Sb 0.3333 0.6667 0.5000
Os1 Os 0.6667 0.3333 0.5000
# Relative energy among the computed polymorphs in kcal/mol of atoms: 7.51
# DOS(E_F) in states/eV/f.u.: 2.756
# V in A^3/atom: 20.46
# E_form (uncorrected) in meV per atom: 632

---

# InSbOs2 PBE relaxed
data_InSbOs2
_cell_length_a 3.2411
_cell_length_b 4.3348
_cell_length_c 5.1788
_cell_angle_alpha 90.00
_cell_angle_beta 90.00
_cell_angle_gamma 90.00
_symmetry_space_group_name_H-M 'P m m m'
_symmetry_Int_Tables_number 47
loop_
_symmetry_equiv_pos_as_xyz
'x,y,z'
'-x,-y,-z'
'-x,-y,z'
'x,y,-z'
'x,-y,-z'
'-x,y,z'
'-x,y,-z'
'x,-y,z'
loop_
_atom_site_label
_atom_site_type_symbol
_atom_site_fract_x
_atom_site_fract_y
_atom_site_fract_z
In1 In 0.0000 0.0000 0.0000
Sb1 Sb 0.5000 0.0000 0.5000
Os1 Os 0.0000 0.5000 0.5000
Os2 Os 0.5000 0.5000 0.0000
# Relative energy among the computed polymorphs in kcal/mol of atoms: 11.44
# DOS(E_F) in states/eV/f.u.: 3.954
# V in A^3/atom: 18.19
# E_form (uncorrected) in meV per atom: 875

---

# InSbOs2 PBE relaxed
data_InSbOs2
_cell_length_a 3.2377
_cell_length_b 3.2377
_cell_length_c 6.5691
_cell_angle_alpha 90.00
_cell_angle_beta 90.00
_cell_angle_gamma 90.00
_symmetry_space_group_name_H-M 'P 4/m m m'
_symmetry_Int_Tables_number 123
_symmetry_space_group_name_Hall '-P 4 2'
loop_
_atom_site_label
_atom_site_type_symbol
_atom_site_fract_x
_atom_site_fract_y
_atom_site_fract_z
In1 In 0.0000 0.0000 0.0000
Sb1 Sb 0.0000 0.0000 0.5000
Os1 Os 0.5000 0.5000 0.2603
# Relative energy among the computed polymorphs in kcal/mol of atoms: 3.04
# DOS(E_F) in states/eV/f.u.: 1.264
# V in A^3/atom: 17.22
# E_form (uncorrected) in meV per atom: 511

---

# In2SbOs PBE relaxed
data_In2SbOs
_cell_length_a 9.8476
_cell_length_b 3.2290
_cell_length_c 6.6665
_cell_angle_alpha 90.00
_cell_angle_beta 111.35
_cell_angle_gamma 90.00
_symmetry_space_group_name_H-M 'C 1 m 1'
_symmetry_Int_Tables_number 8
loop_
_symmetry_equiv_pos_as_xyz
'x,y,z'
'x,-y,z'
'x+1/2,y+1/2,z'
'x+1/2,-y+1/2,z'
loop_
_atom_site_label
_atom_site_type_symbol
_atom_site_fract_x
_atom_site_fract_y
_atom_site_fract_z
In1 In 0.0000 0.0000 0.0000
In2 In 0.1781 0.0000 0.6594
Sb1 Sb 0.3394 0.0000 0.3571
Os1 Os 0.2316 0.5000 0.0207
# DOS(E_F) in states/eV/f.u.: 3.019
# V in A^3/atom: 24.68
# E_form (uncorrected) in meV per atom: 225

---

# In2SbOs PBE relaxed
data_In2SbOs
_cell_length_a 4.3366
_cell_length_b 4.3366
_cell_length_c 8.8114
_cell_angle_alpha 90.00
_cell_angle_beta 90.00
_cell_angle_gamma 90.00
_symmetry_space_group_name_H-M 'I 4/m m m'
_symmetry_Int_Tables_number 139
_symmetry_space_group_name_Hall '-I 4 2'
loop_
_atom_site_label
_atom_site_type_symbol
_atom_site_fract_x
_atom_site_fract_y
_atom_site_fract_z
In1 In 0.0000 0.5000 0.2500
Sb1 Sb 0.0000 0.0000 0.0000
Os1 Os 0.0000 0.0000 0.5000
# DOS(E_F) in states/eV/f.u.: 4.238
# V in A^3/atom: 20.71
# E_form (uncorrected) in meV per atom: 658

---

# InSbOs2 PBE relaxed
data_InSbOs2
_cell_length_a 3.1238
_cell_length_b 5.2616
_cell_length_c 8.8773
_cell_angle_alpha 90.00
_cell_angle_beta 90.00
_cell_angle_gamma 90.00
_symmetry_space_group_name_H-M 'I m m m'
_symmetry_Int_Tables_number 71
_symmetry_space_group_name_Hall '-I 2 2'
loop_
_atom_site_label
_atom_site_type_symbol
_atom_site_fract_x
_atom_site_fract_y
_atom_site_fract_z
In1 In 0.0000 0.0000 0.0000
Sb1 Sb 0.0000 0.0000 0.5000
Os1 Os 0.0000 0.5000 0.2366
# Relative energy among the computed polymorphs in kcal/mol of atoms: 10.58
# DOS(E_F) in states/eV/f.u.: 3.132
# V in A^3/atom: 18.24
# E_form (uncorrected) in meV per atom: 838

---

# In2SbOs PBE relaxed
data_In2SbOs
_cell_length_a 4.8086
_cell_length_b 4.8086
_cell_length_c 3.6633
_cell_angle_alpha 90.00
_cell_angle_beta 90.00
_cell_angle_gamma 90.00
_symmetry_space_group_name_H-M 'P 4/m m m'
_symmetry_Int_Tables_number 123
_symmetry_space_group_name_Hall '-P 4 2'
loop_
_atom_site_label
_atom_site_type_symbol
_atom_site_fract_x
_atom_site_fract_y
_atom_site_fract_z
In1 In 0.0000 0.5000 0.0000
Sb1 Sb 0.0000 0.0000 0.5000
Os1 Os 0.5000 0.5000 0.5000
# DOS(E_F) in states/eV/f.u.: 2.995
# V in A^3/atom: 21.18
# E_form (uncorrected) in meV per atom: 694